VASP calculation (GGA+U) on crystalline Sr3TiCr2O9 at its relaxed geometry.

Computed properties:
Total energy   -7.325 eV/atom

a b c (Å): 5.5218 5.5218 6.7564
angles (deg): 90.00 90.00 120.00
Closest atoms and distances in Å follow each position.
Space group P-3m1 (No. 164)
Inequivalent atoms, fractional coordinates:
Sr 0.0000 0.0000 0.0000  12 O 2.76
Sr 0.3333 0.6667 0.6686  12 O 2.75-2.77
Ti 0.0000 0.0000 0.5000  6 O 1.96
Cr 0.3333 0.6667 0.1642  6 O 1.94-1.95
O 0.0000 0.5000 0.0000  2 Cr 1.94
O 0.1676 0.3353 0.3319  1 Cr 1.95, 1 Ti 1.96